Entry from Alexandria: a geometry-optimized FeRe2F4 structure (GGA+U).

```
FeRe2F4
1.0
4.735 0.000 0.000
0.000 4.735 0.000
2.368 2.368 5.339
F Re Fe
4 2 1
direct
0.191 0.191 0.619
0.500 0.000 0.000
0.809 0.809 0.381
0.000 0.500 0.000
0.599 0.599 0.801
0.401 0.401 0.199
0.000 0.000 0.000
```

Calculated values
Energy, eV/atom: -5.503
Total magnetization, μB per atom: 0.78
SG: I4/mmm, No. 139